# PmHo3C8, optimized geometry, DFT PBE
# E_tot: -7.56 eV per atom
# spin magnetization: 0.0 μB per cell
# E_form: 0.1254 eV per atom
data_PmHo3C8
_space_group_name_H-M_alt 'F m m 2'
_space_group_IT_number 42
_space_group_name_Hall 'F 2 -2'
_cell_length_a 9.359
_cell_length_b 9.708
_cell_length_c 8.096
_cell_angle_alpha 90.00
_cell_angle_beta 90.00
_cell_angle_gamma 90.00
loop_
_atom_site_label
_atom_site_type_symbol
_atom_site_fract_x
_atom_site_fract_y
_atom_site_fract_z
Pm1 Pm 0.000 0.000 0.000
Ho1 Ho 0.000 0.000 0.494
Ho2 Ho 0.250 0.250 0.271
C1 C 0.000 0.169 0.255
C2 C 0.000 0.248 0.628
C3 C 0.170 0.000 0.730
C4 C 0.243 0.000 0.354